1.
Computed, not measured: crystalline AcSm2Ga2Cu2 at its relaxed geometry at the GGA-PBE level of DFT.

Calculated values
Its space group is R-3m (166). For the formation energy, the calculation gives -372 meV per atom.

a = 4.527 Å, b = 4.527 Å, c = 9.910 Å
α = 76.80°, β = 76.80°, γ = 60.00°
Sites, in units of the cell vectors:
Ac (0.000, 0.000, 0.000)
Sm (0.127, 0.127, 0.620)
Sm (0.873, 0.873, 0.380)
Ga (0.745, 0.745, 0.766)
Ga (0.255, 0.255, 0.234)
Cu (0.592, 0.592, 0.225)
Cu (0.408, 0.408, 0.775)

2.
Computed, not measured: crystalline Y2Zn12GaCu3 at its relaxed geometry at the GGA-PBE level of DFT.

Calculated values
Its space group is R-3m (166). For the formation energy, the calculation gives -10 meV per atom.

a = 6.755 Å, b = 6.755 Å, c = 6.755 Å
α = 86.20°, β = 86.20°, γ = 86.20°
Sites, in units of the cell vectors:
Y (0.750, 0.750, 0.750)
Y (0.250, 0.250, 0.250)
Zn (0.429, 0.429, 0.847)
Zn (0.801, 0.801, 0.285)
Zn (0.285, 0.801, 0.801)
Zn (0.847, 0.429, 0.429)
Zn (0.801, 0.285, 0.801)
Zn (0.429, 0.847, 0.429)
Zn (0.571, 0.571, 0.153)
Zn (0.199, 0.199, 0.715)
Zn (0.715, 0.199, 0.199)
Zn (0.153, 0.571, 0.571)
Zn (0.199, 0.715, 0.199)
Zn (0.571, 0.153, 0.571)
Ga (0.000, 0.000, 0.000)
Cu (0.500, 0.000, 0.000)
Cu (0.000, 0.500, 0.000)
Cu (0.000, 0.000, 0.500)

3.
Computed, not measured: crystalline Cs2HgPd at its relaxed geometry at the GGA-PBE level of DFT.

Calculated values
The calculation puts the energy above the most stable polymorph in this dataset at 0.535 eV/atom. Its space group is R-3m (166). For the formation energy, the calculation gives 372 meV per atom.

a = 4.320 Å, b = 4.320 Å, c = 11.924 Å
α = 79.56°, β = 79.56°, γ = 60.00°
Sites, in units of the cell vectors:
Cs (0.084, 0.084, 0.749)
Cs (0.916, 0.916, 0.251)
Hg (0.500, 0.500, 0.500)
Pd (0.000, 0.000, 0.000)

4.
Computed, not measured: crystalline Sc5Pt at its relaxed geometry at the GGA-PBE level of DFT.

Calculated values
The calculation puts the energy above the most stable polymorph in this dataset at 0.000 eV/atom. Its space group is C2/m (12). For the formation energy, the calculation gives -425 meV per atom.

a = 3.416 Å, b = 5.822 Å, c = 7.549 Å
α = 69.45°, β = 90.00°, γ = 72.94°
Sites, in units of the cell vectors:
Pt (0.972, 0.055, 0.945)
Sc (0.613, 0.774, 0.808)
Sc (0.306, 0.389, 0.646)
Sc (0.972, 0.056, 0.444)
Sc (0.639, 0.722, 0.243)
Sc (0.331, 0.337, 0.081)

5.
Computed, not measured: crystalline TbHo4S5 at its relaxed geometry at the GGA-PBE level of DFT.

Calculated values
Its total energy is -63.349 eV for the cell shown. Its space group is Immm (71).

a = 3.896 Å, b = 5.496 Å, c = 10.302 Å
α = 105.47°, β = 100.90°, γ = 90.00°
Sites, in units of the cell vectors:
Tb (0.000, 0.000, 0.000)
Ho (0.400, 0.400, 0.800)
Ho (0.799, 0.799, 0.599)
Ho (0.201, 0.201, 0.401)
Ho (0.600, 0.600, 0.200)
S (0.601, 0.101, 0.203)
S (0.800, 0.300, 0.601)
S (0.200, 0.700, 0.399)
S (0.000, 0.500, 0.000)
S (0.399, 0.899, 0.797)

6.
Computed, not measured: crystalline Ta5Ag3 at its relaxed geometry at the GGA-PBE level of DFT.

Calculated values
Its space group is Cm (8). For the formation energy, the calculation gives 498 meV per atom.

a = 7.939 Å, b = 7.939 Å, c = 7.911 Å
α = 96.09°, β = 96.08°, γ = 141.91°
Sites, in units of the cell vectors:
Ag (0.180, 0.333, 0.512)
Ag (0.238, 0.237, 0.974)
Ag (0.339, 0.839, 0.172)
Ag (0.678, 0.178, 0.862)
Ag (0.737, 0.738, 0.974)
Ag (0.833, 0.680, 0.512)
Ta (0.078, 0.768, 0.852)
Ta (0.212, 0.074, 0.283)
Ta (0.255, 0.755, 0.511)
Ta (0.268, 0.578, 0.852)
Ta (0.432, 0.248, 0.681)
Ta (0.574, 0.712, 0.283)
Ta (0.737, 0.441, 0.173)
Ta (0.757, 0.257, 0.512)
Ta (0.748, 0.932, 0.680)
Ta (0.941, 0.238, 0.173)

7.
Computed, not measured: crystalline ZnGe3Rh at its relaxed geometry at the GGA-PBE level of DFT.

Calculated values
The calculation puts the energy above the most stable polymorph in this dataset at 0.000 eV/atom. Its space group is Pm-3m (221). For the formation energy, the calculation gives 277 meV per atom.

a = 4.806 Å, b = 4.806 Å, c = 4.806 Å
α = 90.00°, β = 90.00°, γ = 90.00°
Sites, in units of the cell vectors:
Ge (0.000, 0.500, 0.000)
Ge (0.000, 0.000, 0.500)
Ge (0.500, 0.000, 0.000)
Rh (0.000, 0.000, 0.000)
Zn (0.500, 0.500, 0.500)

8.
Computed, not measured: crystalline Li2CaGd at its relaxed geometry at the GGA-PBE level of DFT.

Calculated values
The calculation puts the energy above the most stable polymorph in this dataset at 0.036 eV/atom. Its space group is Fm-3m (225). For the formation energy, the calculation gives 129 meV per atom.

a = 5.445 Å, b = 5.445 Å, c = 5.445 Å
α = 60.00°, β = 60.00°, γ = 60.00°
Sites, in units of the cell vectors:
Ca (0.500, 0.500, 0.500)
Gd (0.000, 0.000, 0.000)
Li (0.250, 0.250, 0.250)
Li (0.750, 0.750, 0.750)

| no. | magnetization (μB/f.u.) | D(E_F) (states/eV/cell) |
| --- | --- | --- |
| 1 | 0.0 | 4.534 |
| 2 | 0.0 | 8.122 |
| 3 | 0.0 | 2.964 |
| 4 | 0.0 | 7.750 |
| 5 | 0.0 | 4.351 |
| 6 | 0.0 | 17.829 |
| 7 | 0.0 | 3.444 |
| 8 | 7.7 | 6.952 |